1 | A geometry-optimized Dy6Mg2Tc structure, computed with PBE.

Unit cell a=7.427 b=7.427 c=7.427 alpha=136.09 beta=108.13 gamma=88.19
Fractional positions:
Dy: 0.124 0.343 0.781
Dy: 0.175 0.000 0.175
Dy: 0.438 0.657 0.781
Dy: 0.562 0.343 0.219
Dy: 0.825 0.000 0.825
Dy: 0.876 0.657 0.219
Mg: 0.350 0.850 0.500
Mg: 0.650 0.150 0.500
Tc: 0.000 0.500 0.500

Results
The density of states at the Fermi level comes out at 6.91 states/eV/f.u. The size of the total moment is 0.000 μB/atom. The crystal system is orthorhombic.



2 | A geometry-optimized Dy6Mg2Tc structure, computed with PBE.

Unit cell a=3.685 b=8.849 c=8.849 alpha=118.91 beta=90.00 gamma=90.00
Fractional positions:
Dy: 0.000 0.000 0.000
Dy: 0.000 0.506 0.741
Dy: 0.000 0.741 0.506
Dy: 0.500 0.123 0.747
Dy: 0.500 0.359 0.359
Dy: 0.500 0.747 0.123
Mg: 0.000 0.078 0.414
Mg: 0.000 0.414 0.078
Tc: 0.500 0.764 0.764

Results
The density of states at the Fermi level comes out at 13.35 states/eV/f.u. The size of the total moment is 0.000 μB/atom. The crystal system is orthorhombic.



In order of decreasing stability: 2, 1.



1 | A geometry-optimized DyMgTe2 structure, computed with PBE.

Unit cell a=4.176 b=4.176 c=22.440 alpha=90.00 beta=90.00 gamma=120.00
Fractional positions:
Dy: 0.000 0.000 0.000
Dy: 0.333 0.667 0.667
Dy: 0.667 0.333 0.333
Mg: 0.000 0.000 0.500
Mg: 0.333 0.667 0.167
Mg: 0.667 0.333 0.833
Te: 0.000 0.000 0.246
Te: 0.000 0.000 0.754
Te: 0.333 0.667 0.421
Te: 0.333 0.667 0.912
Te: 0.667 0.333 0.088
Te: 0.667 0.333 0.579

Results
The density of states at the Fermi level comes out at 2.16 states/eV/f.u. The size of the total moment is 0.000 μB/atom. The crystal system is trigonal.



2 | A geometry-optimized DyMgTe2 structure, computed with PBE.

Unit cell a=4.193 b=4.193 c=22.246 alpha=90.00 beta=90.00 gamma=120.00
Fractional positions:
Dy: 0.000 0.000 0.000
Dy: 0.333 0.667 0.667
Dy: 0.667 0.333 0.333
Mg: 0.000 0.000 0.165
Mg: 0.333 0.667 0.832
Mg: 0.667 0.333 0.499
Te: 0.000 0.000 0.576
Te: 0.000 0.000 0.754
Te: 0.333 0.667 0.242
Te: 0.333 0.667 0.421
Te: 0.667 0.333 0.087
Te: 0.667 0.333 0.909

Results
The density of states at the Fermi level comes out at 1.66 states/eV/f.u. The size of the total moment is 0.165 μB/atom. The crystal system is trigonal.



In order of decreasing stability: 2, 1.



1 | A geometry-optimized DyTh2Mg structure, computed with PBE.

Unit cell a=3.482 b=3.482 c=10.045 alpha=90.00 beta=90.00 gamma=90.00
Fractional positions:
Dy: 0.000 0.000 0.000
Th: 0.500 0.500 0.258
Th: 0.500 0.500 0.742
Mg: 0.000 0.000 0.500

Results
The density of states at the Fermi level comes out at 4.72 states/eV/f.u. The size of the total moment is 0.000 μB/atom. The crystal system is tetragonal.



2 | A geometry-optimized DyTh2Mg structure, computed with PBE.

Unit cell a=3.426 b=3.426 c=37.789 alpha=90.00 beta=90.00 gamma=120.00
Fractional positions:
Dy: 0.000 0.000 0.000
Dy: 0.333 0.667 0.667
Dy: 0.667 0.333 0.333
Th: 0.000 0.000 0.412
Th: 0.000 0.000 0.588
Th: 0.333 0.667 0.078
Th: 0.333 0.667 0.255
Th: 0.667 0.333 0.745
Th: 0.667 0.333 0.922
Mg: 0.000 0.000 0.500
Mg: 0.333 0.667 0.167
Mg: 0.667 0.333 0.833

Results
The density of states at the Fermi level comes out at 5.08 states/eV/f.u. The size of the total moment is 0.000 μB/atom. The crystal system is trigonal.



In order of decreasing stability: 1, 2.



1 | A geometry-optimized DyTh2Mg structure, computed with PBE.

Unit cell a=7.837 b=7.837 c=7.837 alpha=90.00 beta=90.00 gamma=90.00
Fractional positions:
Dy: 0.000 0.000 0.000
Dy: 0.000 0.500 0.500
Dy: 0.500 0.000 0.500
Dy: 0.500 0.500 0.000
Th: 0.250 0.250 0.250
Th: 0.250 0.250 0.750
Th: 0.250 0.750 0.250
Th: 0.250 0.750 0.750
Th: 0.750 0.250 0.250
Th: 0.750 0.250 0.750
Th: 0.750 0.750 0.250
Th: 0.750 0.750 0.750
Mg: 0.000 0.000 0.500
Mg: 0.000 0.500 0.000
Mg: 0.500 0.000 0.000
Mg: 0.500 0.500 0.500

Results
The density of states at the Fermi level comes out at 4.48 states/eV/f.u. The size of the total moment is 0.000 μB/atom. The crystal system is cubic.



2 | A geometry-optimized DyTh2Mg structure, computed with PBE.

Unit cell a=3.453 b=3.453 c=35.410 alpha=90.00 beta=90.00 gamma=120.00
Fractional positions:
Dy: 0.000 0.000 0.000
Dy: 0.333 0.667 0.667
Dy: 0.667 0.333 0.333
Th: 0.000 0.000 0.417
Th: 0.000 0.000 0.582
Th: 0.333 0.667 0.084
Th: 0.333 0.667 0.249
Th: 0.667 0.333 0.751
Th: 0.667 0.333 0.915
Mg: 0.000 0.000 0.166
Mg: 0.333 0.667 0.833
Mg: 0.667 0.333 0.500

Results
The density of states at the Fermi level comes out at 5.38 states/eV/f.u. The size of the total moment is 0.000 μB/atom. The crystal system is trigonal.



In order of decreasing stability: 2, 1.



1 | A geometry-optimized DyTh2Mg structure, computed with PBE.

Unit cell a=3.588 b=3.588 c=9.382 alpha=90.00 beta=90.00 gamma=90.00
Fractional positions:
Dy: 0.000 0.000 0.000
Th: 0.000 0.000 0.476
Th: 0.500 0.500 0.741
Mg: 0.500 0.500 0.230

Results
The density of states at the Fermi level comes out at 4.35 states/eV/f.u. The size of the total moment is 0.000 μB/atom. The crystal system is tetragonal.



2 | A geometry-optimized DyTh2Mg structure, computed with PBE.

Unit cell a=4.897 b=4.897 c=5.013 alpha=90.00 beta=90.00 gamma=90.00
Fractional positions:
Dy: 0.000 0.000 0.000
Th: 0.000 0.500 0.500
Th: 0.500 0.000 0.500
Mg: 0.500 0.500 0.000

Results
The density of states at the Fermi level comes out at 5.56 states/eV/f.u. The size of the total moment is 0.000 μB/atom. The crystal system is tetragonal.



In order of decreasing stability: 1, 2.



1 | A geometry-optimized DyYThMg structure, computed with PBE.

Unit cell a=3.597 b=3.597 c=9.187 alpha=90.00 beta=90.00 gamma=90.00
Fractional positions:
Dy: 0.000 0.000 0.000
Y: 0.000 0.000 0.522
Th: 0.500 0.500 0.260
Mg: 0.500 0.500 0.762

Results
The density of states at the Fermi level comes out at 4.74 states/eV/f.u. The size of the total moment is 0.000 μB/atom. The crystal system is tetragonal.



2 | A geometry-optimized DyYThMg structure, computed with PBE.

Unit cell a=7.828 b=7.828 c=7.828 alpha=90.00 beta=90.00 gamma=90.00
Fractional positions:
Dy: 0.000 0.000 0.000
Dy: 0.000 0.500 0.500
Dy: 0.500 0.000 0.500
Dy: 0.500 0.500 0.000
Y: 0.250 0.250 0.750
Y: 0.250 0.750 0.250
Y: 0.750 0.250 0.250
Y: 0.750 0.750 0.750
Th: 0.250 0.250 0.250
Th: 0.250 0.750 0.750
Th: 0.750 0.250 0.750
Th: 0.750 0.750 0.250
Mg: 0.000 0.000 0.500
Mg: 0.000 0.500 0.000
Mg: 0.500 0.000 0.000
Mg: 0.500 0.500 0.500

Results
The density of states at the Fermi level comes out at 7.53 states/eV/f.u. The size of the total moment is 0.001 μB/atom. The crystal system is cubic.



In order of decreasing stability: 1, 2.



1 | A geometry-optimized Dy2MgTi structure, computed with PBE.

Unit cell a=5.374 b=5.374 c=3.575 alpha=90.00 beta=90.00 gamma=90.00
Fractional positions:
Dy: 0.000 0.500 0.000
Dy: 0.500 0.000 0.000
Mg: 0.000 0.000 0.500
Ti: 0.500 0.500 0.500

Results
The density of states at the Fermi level comes out at 6.90 states/eV/f.u. The size of the total moment is 0.564 μB/atom. The crystal system is tetragonal.



2 | A geometry-optimized Dy2MgTi structure, computed with PBE.

Unit cell a=3.390 b=3.390 c=8.942 alpha=90.00 beta=90.00 gamma=90.00
Fractional positions:
Dy: 0.000 0.000 0.231
Dy: 0.000 0.000 0.769
Mg: 0.500 0.500 0.500
Ti: 0.500 0.500 0.000

Results
The density of states at the Fermi level comes out at 4.31 states/eV/f.u. The size of the total moment is 0.000 μB/atom. The crystal system is tetragonal.



3 | A geometry-optimized Dy2MgTi structure, computed with PBE.

Unit cell a=7.421 b=7.421 c=7.421 alpha=90.00 beta=90.00 gamma=90.00
Fractional positions:
Dy: 0.250 0.250 0.250
Dy: 0.250 0.250 0.750
Dy: 0.250 0.750 0.250
Dy: 0.250 0.750 0.750
Dy: 0.750 0.250 0.250
Dy: 0.750 0.250 0.750
Dy: 0.750 0.750 0.250
Dy: 0.750 0.750 0.750
Mg: 0.000 0.000 0.000
Mg: 0.000 0.500 0.500
Mg: 0.500 0.000 0.500
Mg: 0.500 0.500 0.000
Ti: 0.000 0.000 0.500
Ti: 0.000 0.500 0.000
Ti: 0.500 0.000 0.000
Ti: 0.500 0.500 0.500

Results
The density of states at the Fermi level comes out at 7.34 states/eV/f.u. The size of the total moment is 0.526 μB/atom. The crystal system is cubic.



In order of decreasing stability: 2, 3, 1.



1 | A geometry-optimized Dy3MgTl2 structure, computed with PBE.

Unit cell a=5.175 b=15.757 c=3.981 alpha=90.00 beta=90.00 gamma=90.00
Fractional positions:
Dy: 0.000 0.000 0.000
Dy: 0.000 0.330 0.000
Dy: 0.000 0.670 0.000
Dy: 0.500 0.170 0.000
Dy: 0.500 0.500 0.000
Dy: 0.500 0.830 0.000
Mg: 0.000 0.500 0.500
Mg: 0.500 0.000 0.500
Tl: 0.000 0.157 0.500
Tl: 0.000 0.843 0.500
Tl: 0.500 0.343 0.500
Tl: 0.500 0.657 0.500

Results
The density of states at the Fermi level comes out at 4.69 states/eV/f.u. The size of the total moment is 0.000 μB/atom. The crystal system is orthorhombic.



2 | A geometry-optimized Dy3MgTl2 structure, computed with PBE.

Unit cell a=3.770 b=3.770 c=11.432 alpha=90.00 beta=90.00 gamma=90.00
Fractional positions:
Dy: 0.000 0.000 0.000
Dy: 0.000 0.000 0.340
Dy: 0.000 0.000 0.660
Mg: 0.500 0.500 0.500
Tl: 0.500 0.500 0.175
Tl: 0.500 0.500 0.825

Results
The density of states at the Fermi level comes out at 5.38 states/eV/f.u. The size of the total moment is 0.000 μB/atom. The crystal system is tetragonal.



In order of decreasing stability: 1, 2.



1 | A geometry-optimized Dy3MgTl4 structure, computed with PBE.

Unit cell a=5.253 b=5.253 c=15.329 alpha=90.00 beta=90.00 gamma=90.00
Fractional positions:
Dy: 0.000 0.000 0.000
Dy: 0.000 0.000 0.257
Dy: 0.000 0.000 0.743
Dy: 0.500 0.500 0.243
Dy: 0.500 0.500 0.500
Dy: 0.500 0.500 0.757
Mg: 0.000 0.000 0.500
Mg: 0.500 0.500 0.000
Tl: 0.000 0.500 0.122
Tl: 0.000 0.500 0.378
Tl: 0.000 0.500 0.622
Tl: 0.000 0.500 0.878
Tl: 0.500 0.000 0.122
Tl: 0.500 0.000 0.378
Tl: 0.500 0.000 0.622
Tl: 0.500 0.000 0.878

Results
The density of states at the Fermi level comes out at 6.26 states/eV/f.u. The size of the total moment is 0.000 μB/atom. The crystal system is tetragonal.



2 | A geometry-optimized Dy3MgTl4 structure, computed with PBE.

Unit cell a=3.480 b=9.634 c=13.377 alpha=90.00 beta=90.00 gamma=90.00
Fractional positions:
Dy: 0.000 0.000 0.000
Dy: 0.000 0.500 0.223
Dy: 0.000 0.500 0.777
Dy: 0.500 0.000 0.277
Dy: 0.500 0.000 0.723
Dy: 0.500 0.500 0.500
Mg: 0.000 0.000 0.500
Mg: 0.500 0.500 0.000
Tl: 0.000 0.255 0.375
Tl: 0.000 0.255 0.625
Tl: 0.000 0.745 0.375
Tl: 0.000 0.745 0.625
Tl: 0.500 0.245 0.125
Tl: 0.500 0.245 0.875
Tl: 0.500 0.755 0.125
Tl: 0.500 0.755 0.875

Results
The density of states at the Fermi level comes out at 5.54 states/eV/f.u. The size of the total moment is 0.000 μB/atom. The crystal system is orthorhombic.



In order of decreasing stability: 1, 2.



1 | A geometry-optimized Dy8MgTl2 structure, computed with PBE.

Unit cell a=8.719 b=8.719 c=5.572 alpha=102.19 beta=102.19 gamma=118.98
Fractional positions:
Dy: 0.098 0.325 0.613
Dy: 0.217 0.783 0.000
Dy: 0.325 0.098 0.613
Dy: 0.400 0.400 0.197
Dy: 0.600 0.600 0.803
Dy: 0.675 0.902 0.387
Dy: 0.783 0.217 0.000
Dy: 0.902 0.675 0.387
Mg: 0.000 0.000 0.000
Tl: 0.305 0.695 0.500
Tl: 0.695 0.305 0.500

Results
The density of states at the Fermi level comes out at 14.02 states/eV/f.u. The size of the total moment is 0.000 μB/atom. The crystal system is monoclinic.



2 | A geometry-optimized Dy8MgTl2 structure, computed with PBE.

Unit cell a=5.391 b=8.573 c=8.586 alpha=119.43 beta=90.07 gamma=108.29
Fractional positions:
Dy: 0.064 0.129 0.221
Dy: 0.136 0.271 0.680
Dy: 0.320 0.639 0.558
Dy: 0.410 0.819 0.050
Dy: 0.590 0.181 0.950
Dy: 0.680 0.361 0.442
Dy: 0.864 0.729 0.320
Dy: 0.936 0.871 0.779
Mg: 0.500 0.000 0.500
Tl: 0.228 0.457 0.128
Tl: 0.772 0.543 0.872

Results
The density of states at the Fermi level comes out at 10.83 states/eV/f.u. The size of the total moment is 0.000 μB/atom. The crystal system is triclinic.



In order of decreasing stability: 2, 1.



1 | A geometry-optimized DyMgTl2 structure, computed with PBE.

Unit cell a=3.514 b=3.514 c=30.254 alpha=90.00 beta=90.00 gamma=120.00
Fractional positions:
Dy: 0.000 0.000 0.000
Dy: 0.333 0.667 0.667
Dy: 0.667 0.333 0.333
Mg: 0.000 0.000 0.834
Mg: 0.333 0.667 0.501
Mg: 0.667 0.333 0.167
Tl: 0.000 0.000 0.421
Tl: 0.000 0.000 0.580
Tl: 0.333 0.667 0.088
Tl: 0.333 0.667 0.246
Tl: 0.667 0.333 0.755
Tl: 0.667 0.333 0.913

Results
The density of states at the Fermi level comes out at 3.36 states/eV/f.u. The size of the total moment is 0.000 μB/atom. The crystal system is trigonal.



2 | A geometry-optimized DyMgTl2 structure, computed with PBE.

Unit cell a=4.897 b=4.897 c=15.193 alpha=90.00 beta=90.00 gamma=120.00
Fractional positions:
Dy: 0.000 0.000 0.000
Dy: 0.333 0.667 0.667
Dy: 0.667 0.333 0.333
Mg: 0.000 0.000 0.500
Mg: 0.333 0.667 0.167
Mg: 0.667 0.333 0.833
Tl: 0.000 0.000 0.238
Tl: 0.000 0.000 0.762
Tl: 0.333 0.667 0.428
Tl: 0.333 0.667 0.905
Tl: 0.667 0.333 0.095
Tl: 0.667 0.333 0.572

Results
The density of states at the Fermi level comes out at 2.19 states/eV/f.u. The size of the total moment is 0.000 μB/atom. The crystal system is trigonal.



3 | A geometry-optimized DyMgTl2 structure, computed with PBE.

Unit cell a=4.760 b=4.760 c=4.473 alpha=90.00 beta=90.00 gamma=90.00
Fractional positions:
Dy: 0.000 0.000 0.000
Mg: 0.500 0.500 0.000
Tl: 0.000 0.500 0.500
Tl: 0.500 0.000 0.500

Results
The density of states at the Fermi level comes out at 2.12 states/eV/f.u. The size of the total moment is 0.000 μB/atom. The crystal system is tetragonal.



4 | A geometry-optimized DyMgTl2 structure, computed with PBE.

Unit cell a=7.446 b=7.446 c=7.446 alpha=90.00 beta=90.00 gamma=90.00
Fractional positions:
Dy: 0.000 0.000 0.000
Dy: 0.000 0.500 0.500
Dy: 0.500 0.000 0.500
Dy: 0.500 0.500 0.000
Mg: 0.000 0.000 0.500
Mg: 0.000 0.500 0.000
Mg: 0.500 0.000 0.000
Mg: 0.500 0.500 0.500
Tl: 0.250 0.250 0.250
Tl: 0.250 0.250 0.750
Tl: 0.250 0.750 0.250
Tl: 0.250 0.750 0.750
Tl: 0.750 0.250 0.250
Tl: 0.750 0.250 0.750
Tl: 0.750 0.750 0.250
Tl: 0.750 0.750 0.750

Results
The density of states at the Fermi level comes out at 1.67 states/eV/f.u. The size of the total moment is 0.000 μB/atom. The crystal system is cubic.



In order of decreasing stability: 3, 4, 2, 1.



1 | A geometry-optimized Dy2MgTl structure, computed with PBE.

Unit cell a=7.543 b=7.543 c=7.543 alpha=90.00 beta=90.00 gamma=90.00
Fractional positions:
Dy: 0.250 0.250 0.250
Dy: 0.250 0.250 0.750
Dy: 0.250 0.750 0.250
Dy: 0.250 0.750 0.750
Dy: 0.750 0.250 0.250
Dy: 0.750 0.250 0.750
Dy: 0.750 0.750 0.250
Dy: 0.750 0.750 0.750
Mg: 0.000 0.000 0.000
Mg: 0.000 0.500 0.500
Mg: 0.500 0.000 0.500
Mg: 0.500 0.500 0.000
Tl: 0.000 0.000 0.500
Tl: 0.000 0.500 0.000
Tl: 0.500 0.000 0.000
Tl: 0.500 0.500 0.500

Results
The density of states at the Fermi level comes out at 3.28 states/eV/f.u. The size of the total moment is 0.000 μB/atom. The crystal system is cubic.



2 | A geometry-optimized Dy2MgTl structure, computed with PBE.

Unit cell a=3.587 b=3.587 c=31.376 alpha=90.00 beta=90.00 gamma=120.00
Fractional positions:
Dy: 0.000 0.000 0.000
Dy: 0.000 0.000 0.173
Dy: 0.333 0.667 0.667
Dy: 0.333 0.667 0.840
Dy: 0.667 0.333 0.333
Dy: 0.667 0.333 0.507
Mg: 0.000 0.000 0.420
Mg: 0.333 0.667 0.087
Mg: 0.667 0.333 0.754
Tl: 0.000 0.000 0.587
Tl: 0.333 0.667 0.253
Tl: 0.667 0.333 0.920

Results
The density of states at the Fermi level comes out at 5.60 states/eV/f.u. The size of the total moment is 0.000 μB/atom. The crystal system is trigonal.



In order of decreasing stability: 1, 2.